[1]
Density functional theory data (PBE) for a relaxed AlHgBr2 crystal.

abc: 3.5423 3.5423 8.7789
angles: 90.00 90.00 90.00
Atoms (fractional coordinates):
Al (0.0000, 0.0000, 0.0000)
Hg (0.5000, 0.5000, 0.7732)
Br (0.0000, 0.0000, 0.5787)
Br (0.5000, 0.5000, 0.1802)

Computed properties:
Energy relative to the lowest polymorph listed for this composition ... 391 meV/atom
Raw formation energy ... -0.126 eV/atom
DOS at the Fermi energy ... 1.67 states/eV per cell
Total moment ... 0.0 μB per cell

=====

[2]
Density functional theory data (PBE) for a relaxed KMgPCl2 crystal.

abc: 5.6339 5.6339 5.9185
angles: 90.00 90.00 90.00
Atoms (fractional coordinates):
K (0.0000, 0.0000, 0.0000)
Mg (0.5000, 0.5000, 0.5000)
P (0.0000, 0.0000, 0.5000)
Cl (0.0000, 0.5000, 0.0000)
Cl (0.5000, 0.0000, 0.0000)

Computed properties:
Energy relative to the lowest polymorph listed for this composition ... 1024 meV/atom
Raw formation energy ... 0.096 eV/atom
DOS at the Fermi energy ... 0.10 states/eV per cell
Total moment ... 2.0 μB per cell

=====

[3]
Density functional theory data (PBE) for a relaxed KBRuO6 crystal.

abc: 4.9276 4.9276 6.1875
angles: 89.94 89.97 60.01
Atoms (fractional coordinates):
K (0.0000, 0.0000, 0.0000)
B (0.6663, 0.6664, 0.2875)
Ru (0.3332, 0.3325, 0.4978)
O (0.0318, 0.6535, 0.6301)
O (0.3135, 0.0304, 0.6294)
O (0.4332, 0.5874, 0.2732)
O (0.5872, 0.9784, 0.2728)
O (0.6550, 0.3120, 0.6296)
O (0.9783, 0.4334, 0.2732)

Computed properties:
Raw formation energy ... -1.241 eV/atom
Total moment ... 0.0 μB per cell

=====

[4]
Density functional theory data (PBE) for a relaxed Pm6Tl5Hg crystal.

abc: 7.6657 7.6657 6.6702
angles: 98.56 98.56 99.17
Atoms (fractional coordinates):
Pm (0.0812, 0.4107, 0.7446)
Pm (0.2430, 0.2430, 0.2473)
Pm (0.4107, 0.0812, 0.7446)
Pm (0.5893, 0.9188, 0.2554)
Pm (0.7570, 0.7570, 0.7527)
Pm (0.9188, 0.5893, 0.2554)
Tl (0.1740, 0.8260, 0.0000)
Tl (0.3389, 0.6611, 0.5000)
Tl (0.5000, 0.5000, 0.0000)
Tl (0.6611, 0.3389, 0.5000)
Tl (0.8260, 0.1740, 0.0000)
Hg (0.0000, 0.0000, 0.5000)

Computed properties:
Energy of formation ... -0.28 eV per atom
Energy relative to the lowest polymorph listed for this composition ... 126 meV/atom
DOS at the Fermi energy ... 11.53 states/eV per cell
Total moment ... 0.0 μB per cell

=====

[5]
Density functional theory data (PBE) for a relaxed Cs2AsHI6 crystal.

abc: 8.5930 8.5930 8.5930
angles: 126.28 126.28 79.43
Atoms (fractional coordinates):
Cs (0.2500, 0.7500, 0.5000)
Cs (0.7500, 0.2500, 0.5000)
As (0.0000, 0.0000, 0.0000)
H (0.5000, 0.5000, 0.0000)
I (0.2189, 0.2189, 0.0000)
I (0.2642, 0.2642, 0.5284)
I (0.2642, 0.7358, 0.0000)
I (0.7358, 0.2642, 0.0000)
I (0.7358, 0.7358, 0.4716)
I (0.7811, 0.7811, 0.0000)

Computed properties:
DOS at the Fermi energy ... 2.58 states/eV per cell
Total moment ... 0.0 μB per cell

=====

[6]
Density functional theory data (PBE) for a relaxed Li2AgGe2Au2 crystal.

abc: 4.4726 4.4726 7.2993
angles: 108.10 108.10 60.06
Atoms (fractional coordinates):
Li (0.1356, 0.1356, 0.4053)
Li (0.8644, 0.8644, 0.5947)
Ag (0.0000, 0.0000, 0.0000)
Ge (0.4283, 0.4283, 0.2844)
Ge (0.5717, 0.5717, 0.7156)
Au (0.2636, 0.2636, 0.7912)
Au (0.7364, 0.7364, 0.2088)

Computed properties:
Energy of formation ... -0.27 eV per atom
DOS at the Fermi energy ... 2.25 states/eV per cell
Total moment ... 0.0 μB per cell

=====

[7]
Density functional theory data (PBE) for a relaxed SmCd5Ag6 crystal.

abc: 8.2413 8.2413 8.2413
angles: 145.81 127.75 63.93
Atoms (fractional coordinates):
Sm (0.0000, 0.0000, 0.0000)
Cd (0.1572, 0.6572, 0.5000)
Cd (0.3261, 0.3261, 0.0000)
Cd (0.5000, 0.0000, 0.5000)
Cd (0.6739, 0.6739, 0.0000)
Cd (0.8428, 0.3428, 0.5000)
Ag (0.0962, 0.8278, 0.2684)
Ag (0.2741, 0.5000, 0.7741)
Ag (0.4406, 0.1722, 0.2684)
Ag (0.5594, 0.8278, 0.7316)
Ag (0.7259, 0.5000, 0.2259)
Ag (0.9038, 0.1722, 0.7316)

Computed properties:
Energy of formation ... -0.08 eV per atom
DOS at the Fermi energy ... 3.67 states/eV per cell
Total moment ... 0.0 μB per cell

=====

[8]
Density functional theory data (PBE) for a relaxed ThZn2CuPd2 crystal.

abc: 4.4964 4.4964 5.5929
angles: 90.00 90.00 90.00
Atoms (fractional coordinates):
Th (0.0000, 0.0000, 0.0000)
Zn (0.0000, 0.5000, 0.5000)
Zn (0.5000, 0.0000, 0.5000)
Cu (0.0000, 0.0000, 0.5000)
Pd (0.5000, 0.5000, 0.2378)
Pd (0.5000, 0.5000, 0.7622)

Computed properties:
Energy of formation ... -0.23 eV per atom
DOS at the Fermi energy ... 2.56 states/eV per cell
Total moment ... 0.0 μB per cell

=====

[9]
Density functional theory data (PBE) for a relaxed TlVCu2Pd crystal.

abc: 4.7365 4.7365 5.0405
angles: 90.00 90.00 90.00
Atoms (fractional coordinates):
Tl (0.0000, 0.0000, 0.0000)
V (0.0000, 0.0000, 0.5000)
Cu (0.0000, 0.5000, 0.0000)
Cu (0.5000, 0.0000, 0.0000)
Pd (0.5000, 0.5000, 0.5000)

Computed properties:
Energy of formation ... 1.49 eV per atom
DOS at the Fermi energy ... 6.49 states/eV per cell
Total moment ... 0.1 μB per cell

=====

[10]
Density functional theory data (PBE) for a relaxed Rb2HClF6 crystal.

abc: 6.1523 6.1523 6.1523
angles: 121.71 121.71 87.07
Atoms (fractional coordinates):
Rb (0.2500, 0.7500, 0.5000)
Rb (0.7500, 0.2500, 0.5000)
H (0.0000, 0.0000, 0.0000)
Cl (0.5000, 0.5000, 0.0000)
F (0.1863, 0.1863, 0.3726)
F (0.1863, 0.8137, 0.0000)
F (0.2969, 0.2969, 0.0000)
F (0.7031, 0.7031, 0.0000)
F (0.8137, 0.1863, 0.0000)
F (0.8137, 0.8137, 0.6274)

Computed properties:
Energy relative to the lowest polymorph listed for this composition ... 396 meV/atom
DOS at the Fermi energy ... 6.23 states/eV per cell
Total moment ... 2.0 μB per cell

=====

[11]
Density functional theory data (PBE) for a relaxed BaCu2Ru crystal.

abc: 4.7043 4.7043 3.4414
angles: 90.00 90.00 90.00
Atoms (fractional coordinates):
Ba (0.0000, 0.0000, 0.0000)
Cu (0.0000, 0.5000, 0.5000)
Cu (0.5000, 0.0000, 0.5000)
Ru (0.5000, 0.5000, 0.0000)

Computed properties:
Energy of formation ... 0.71 eV per atom
Energy relative to the lowest polymorph listed for this composition ... 513 meV/atom
DOS at the Fermi energy ... 2.89 states/eV per cell
Total moment ... 0.0 μB per cell

=====

[12]
Density functional theory data (PBE) for a relaxed CsTlInSb2 crystal.

abc: 8.4830 8.4830 8.4830
angles: 145.32 145.32 49.86
Atoms (fractional coordinates):
Cs (0.0000, 0.0000, 0.0000)
Tl (0.2500, 0.7500, 0.5000)
In (0.7500, 0.2500, 0.5000)
Sb (0.3616, 0.3616, 0.0000)
Sb (0.6384, 0.6384, 0.0000)

Computed properties:
Raw formation energy ... -0.231 eV/atom
DOS at the Fermi energy ... 1.26 states/eV per cell
Total moment ... 0.0 μB per cell

=====

| no. | energy (eV per cell) |
| --- | --- |
| 1 | -7.90 |
| 2 | -11.32 |
| 3 | -57.97 |
| 4 | -43.95 |
| 5 | -24.10 |
| 6 | -24.35 |
| 7 | -27.39 |
| 8 | -25.83 |
| 9 | -17.41 |
| 10 | -31.92 |
| 11 | -16.54 |
| 12 | -15.36 |